# Zn4GaAu7, optimized geometry, DFT PBE-GGA
# Spin magnetization ... 0.000 μB per atom
# Uncorrected energy ... -32.2 eV per formula unit
# Energy of formation from the pure elements ... -0.09 eV per atom
data_Zn4GaAu7
_chemical_formula_sum 'Zn8 Ga2 Au14'
_space_group_name_H-M_alt 'C 1 2/m 1'
_space_group_IT_number 12
_cell_length_a 11.2200
_cell_length_b 4.8440
_cell_length_c 9.7482
_cell_angle_alpha 90.00
_cell_angle_beta 122.47
_cell_angle_gamma 90.00
loop_
_space_group_symop_operation_xyz
'x,y,z'
'-x,-y,-z'
'-x,y,-z'
'x,-y,z'
'x+1/2,y+1/2,z'
'-x+1/2,-y+1/2,-z'
'-x+1/2,y+1/2,-z'
'x+1/2,-y+1/2,z'
loop_
_atom_site_label
_atom_site_type_symbol
_atom_site_fract_x
_atom_site_fract_y
_atom_site_fract_z
Zn1 Zn 0.0884 0.0000 0.2761
Zn2 Zn 0.2299 0.0000 0.8328
Ga1 Ga 0.0000 0.5000 0.5000
Au1 Au 0.0000 0.0000 0.5000
Au2 Au 0.0759 0.5000 0.8217
Au3 Au 0.1366 0.0000 0.0376
Au4 Au 0.2130 0.5000 0.3953

# V2InRu3, optimized geometry, DFT PBE-GGA
# Spin magnetization ... 0.002 μB per atom
# Uncorrected energy ... -50.2 eV per formula unit
# Energy of formation from the pure elements ... -0.24 eV per atom
data_V2InRu3
_chemical_formula_sum 'V2 In1 Ru3'
_space_group_name_H-M_alt 'P 4/m m m'
_space_group_IT_number 123
_space_group_name_Hall '-P 4 2'
_cell_length_a 3.0216
_cell_length_b 3.0216
_cell_length_c 9.7063
_cell_angle_alpha 90.00
_cell_angle_beta 90.00
_cell_angle_gamma 90.00
loop_
_atom_site_label
_atom_site_type_symbol
_atom_site_fract_x
_atom_site_fract_y
_atom_site_fract_z
V1 V 0.0000 0.0000 0.1575
In1 In 0.0000 0.0000 0.5000
Ru1 Ru 0.5000 0.5000 0.0000
Ru2 Ru 0.5000 0.5000 0.2996

# AlInPtRh, optimized geometry, DFT PBE-GGA
# Spin magnetization ... 0.000 μB per atom
# Uncorrected energy ... -22.3 eV per formula unit
# Energy of formation from the pure elements ... -0.61 eV per atom
data_AlInPtRh
_chemical_formula_sum 'Al4 In4 Pt4 Rh4'
_space_group_name_H-M_alt 'F -4 3 m'
_space_group_IT_number 216
_space_group_name_Hall 'F -4 2 3'
_cell_length_a 6.3393
_cell_length_b 6.3393
_cell_length_c 6.3393
_cell_angle_alpha 90.00
_cell_angle_beta 90.00
_cell_angle_gamma 90.00
loop_
_atom_site_label
_atom_site_type_symbol
_atom_site_fract_x
_atom_site_fract_y
_atom_site_fract_z
Al1 Al 0.0000 0.0000 0.0000
In1 In 0.0000 0.0000 0.5000
Pt1 Pt 0.2500 0.2500 0.7500
Rh1 Rh 0.2500 0.2500 0.2500

Density
In order: 12.71; 9.74; 11.47
Unit: g cm⁻³